Version 1
First-principles (PBE-GGA) data for Y2GeF after structural relaxation, as listed in the Alexandria database.

Values from the calculation:
V = 118.6 Å³/cell
N(E_F) = 0.682 states/eV per atom

Cell lengths 4.376, 4.376, 7.584 Å; angles 73.23, 73.23, 60.00 degrees
Fractional coordinates of all 4 atoms:
Y 0.103 0.103 0.692
Y 0.897 0.897 0.308
F 0.000 0.000 0.000
Ge 0.500 0.500 0.500

***

Version 2
First-principles (PBE-GGA) data for Y2GeF after structural relaxation, as listed in the Alexandria database.

Values from the calculation:
V = 205.6 Å³/cell
N(E_F) = 0.781 states/eV per atom

Cell lengths 5.710, 5.710, 7.489 Å; angles 67.59, 67.59, 90.00 degrees
Fractional coordinates of all 8 atoms:
Y 0.178 0.625 0.250
Y 0.572 0.125 0.250
Y 0.875 0.822 0.750
Y 0.375 0.428 0.750
F 0.500 0.500 0.000
F 0.250 0.750 0.500
Ge 0.000 0.000 0.000
Ge 0.750 0.250 0.500

***

Ranked by calculated energy, most stable first: version 1, version 2.

***

Version 1
First-principles (PBE-GGA) data for YGe2F after structural relaxation, as listed in the Alexandria database.

Values from the calculation:
V = 79.3 Å³/cell
N(E_F) = 0.130 states/eV per atom

Cell lengths 4.821, 4.821, 4.821 Å; angles 60.00, 60.00, 60.00 degrees
Fractional coordinates of all 4 atoms:
Ge 0.250 0.250 0.250
Ge 0.750 0.750 0.750
Y 0.500 0.500 0.500
F 0.000 0.000 0.000

***

Version 2
First-principles (PBE-GGA) data for YGe2F after structural relaxation, as listed in the Alexandria database.

Values from the calculation:
V = 150.2 Å³/cell
N(E_F) = 0.584 states/eV per atom

Cell lengths 3.631, 3.631, 11.674 Å; angles 81.05, 81.05, 90.00 degrees
Fractional coordinates of all 8 atoms:
Ge 0.875 0.878 0.750
Ge 0.628 0.125 0.250
Ge 0.375 0.372 0.750
Ge 0.122 0.625 0.250
F 0.500 0.500 0.000
F 0.250 0.750 0.500
Y 0.000 0.000 0.000
Y 0.750 0.250 0.500

***

Ranked by calculated energy, most stable first: version 2, version 1.